# Nd5Sm4Er2 (PBE, optimized geometry)
data_Nd5Sm4Er2
_chemical_formula_sum 'Nd5 Sm4 Er2'
_cell_length_a 3.5072
_cell_length_b 8.8992
_cell_length_c 12.2566
_cell_angle_alpha 96.99
_cell_angle_beta 98.19
_cell_angle_gamma 90.01
_symmetry_space_group_name_H-M 'P 1'
_symmetry_Int_Tables_number 1
_symmetry_space_group_name_Hall 'P 1'
loop_
_atom_site_label
_atom_site_fract_x
_atom_site_fract_y
_atom_site_fract_z
Nd1 0.0000 0.0000 0.0000
Nd2 0.2694 0.1791 0.5391
Nd3 0.3603 0.8845 0.7206
Nd4 0.6397 0.1155 0.2794
Nd5 0.7306 0.8209 0.4609
Sm1 0.1759 0.4714 0.3520
Sm2 0.4550 0.6383 0.9100
Sm3 0.5450 0.3617 0.0900
Sm4 0.8241 0.5286 0.6480
Er1 0.4084 0.2675 0.8174
Er2 0.5916 0.7325 0.1826
# V ... 375.8 Å³/f.u.
# Uncorrected energy ... -4.5719 eV/atom
# Energy relative to the elements ... 0.141 eV per atom
# ΔE to the lowest computed polymorph ... 0.0 meV/atom

---

# RbLa4Pb3O12 (PBE, optimized geometry)
data_RbLa4Pb3O12
_chemical_formula_sum 'Rb1 La4 Pb3 O12'
_cell_length_a 7.7361
_cell_length_b 7.7361
_cell_length_c 7.7361
_cell_angle_alpha 109.47
_cell_angle_beta 109.47
_cell_angle_gamma 109.47
_symmetry_space_group_name_H-M 'P 1'
_symmetry_Int_Tables_number 1
_symmetry_space_group_name_Hall 'P 1'
loop_
_atom_site_label
_atom_site_fract_x
_atom_site_fract_y
_atom_site_fract_z
Rb1 0.0000 0.0000 0.0000
La1 0.0000 0.0000 0.5000
La2 0.0000 0.5000 0.0000
La3 0.5000 0.0000 0.0000
La4 0.5000 0.5000 0.5000
Pb1 0.0000 0.5000 0.5000
Pb2 0.5000 0.0000 0.5000
Pb3 0.5000 0.5000 0.0000
O1 0.1525 0.8287 0.3238
O2 0.1713 0.3238 0.4951
O3 0.1713 0.6762 0.8475
O4 0.3238 0.1525 0.8287
O5 0.3238 0.4951 0.1713
O6 0.4951 0.1713 0.3238
O7 0.5049 0.8287 0.6762
O8 0.6762 0.5049 0.8287
O9 0.6762 0.8475 0.1713
O10 0.8287 0.3238 0.1525
O11 0.8287 0.6762 0.5049
O12 0.8475 0.1713 0.6762
# V ... 356.4 Å³/f.u.
# Uncorrected energy ... -6.6690 eV/atom

---

# KInSn2Se6 (PBE, optimized geometry)
data_KInSn2Se6
_chemical_formula_sum 'K2 In2 Sn4 Se12'
_cell_length_a 9.8553
_cell_length_b 9.8553
_cell_length_c 7.6360
_cell_angle_alpha 109.42
_cell_angle_beta 109.42
_cell_angle_gamma 83.27
_symmetry_space_group_name_H-M 'P 1'
_symmetry_Int_Tables_number 1
_symmetry_space_group_name_Hall 'P 1'
loop_
_atom_site_label
_atom_site_fract_x
_atom_site_fract_y
_atom_site_fract_z
K1 0.1908 0.8092 0.7500
K2 0.8092 0.1908 0.2500
In1 0.3341 0.6659 0.2500
In2 0.6659 0.3341 0.7500
Sn1 0.1267 0.3027 0.8327
Sn2 0.3027 0.1267 0.3327
Sn3 0.6973 0.8733 0.6673
Sn4 0.8733 0.6973 0.1673
Se1 0.0822 0.1501 0.0256
Se2 0.1139 0.5784 0.3064
Se3 0.1501 0.0822 0.5256
Se4 0.3353 0.4683 0.9139
Se5 0.4216 0.8861 0.1936
Se6 0.4683 0.3353 0.4139
Se7 0.5317 0.6647 0.5861
Se8 0.5784 0.1139 0.8064
Se9 0.6647 0.5317 0.0861
Se10 0.8499 0.9178 0.4744
Se11 0.8861 0.4216 0.6936
Se12 0.9178 0.8499 0.9744
# V ... 329.8 Å³/f.u.
# Uncorrected energy ... -3.8109 eV/atom

---

# KIBr3 (PBE, optimized geometry)
data_KIBr3
_chemical_formula_sum 'K1 I1 Br3'
_cell_length_a 5.9125
_cell_length_b 5.9125
_cell_length_c 5.9125
_cell_angle_alpha 90.00
_cell_angle_beta 90.00
_cell_angle_gamma 90.00
_symmetry_space_group_name_H-M 'P 1'
_symmetry_Int_Tables_number 1
_symmetry_space_group_name_Hall 'P 1'
loop_
_atom_site_label
_atom_site_fract_x
_atom_site_fract_y
_atom_site_fract_z
K1 0.0000 0.0000 0.0000
I1 0.5000 0.5000 0.5000
Br1 0.0000 0.5000 0.5000
Br2 0.5000 0.0000 0.5000
Br3 0.5000 0.5000 0.0000
# V ... 206.7 Å³/f.u.
# Uncorrected energy ... -2.1509 eV/atom
# ΔE to the lowest computed polymorph ... 23.7 meV/atom

---

# Sr3Hg (PBE, optimized geometry)
data_Sr3Hg
_chemical_formula_sum 'Sr3 Hg1'
_cell_length_a 5.0271
_cell_length_b 5.6435
_cell_length_c 5.8738
_cell_angle_alpha 90.00
_cell_angle_beta 90.00
_cell_angle_gamma 90.00
_symmetry_space_group_name_H-M 'P 1'
_symmetry_Int_Tables_number 1
_symmetry_space_group_name_Hall 'P 1'
loop_
_atom_site_label
_atom_site_fract_x
_atom_site_fract_y
_atom_site_fract_z
Sr1 0.0000 0.0000 0.0000
Sr2 0.0000 0.5000 0.4969
Sr3 0.5000 0.5000 0.9862
Hg1 0.5000 0.0000 0.5637
# V ... 166.6 Å³/f.u.
# Uncorrected energy ... -1.4508 eV/atom
# Energy relative to the elements ... -0.114 eV per atom
# ΔE to the lowest computed polymorph ... 168.8 meV/atom

---

# SmTm (PBE, optimized geometry)
data_SmTm
_chemical_formula_sum 'Sm2 Tm2'
_cell_length_a 5.6628
_cell_length_b 3.6368
_cell_length_c 6.2763
_cell_angle_alpha 90.00
_cell_angle_beta 90.00
_cell_angle_gamma 90.00
_symmetry_space_group_name_H-M 'P 1'
_symmetry_Int_Tables_number 1
_symmetry_space_group_name_Hall 'P 1'
loop_
_atom_site_label
_atom_site_fract_x
_atom_site_fract_y
_atom_site_fract_z
Sm1 0.2500 0.0000 0.1688
Sm2 0.7500 0.0000 0.8312
Tm1 0.2500 0.5000 0.6644
Tm2 0.7500 0.5000 0.3356
# V ... 64.6 Å³/f.u.
# Uncorrected energy ... -4.5818 eV/atom
# Energy relative to the elements ... 0.013 eV per atom
# ΔE to the lowest computed polymorph ... 1.2 meV/atom